No. 1
Density functional theory data (PBE-GGA) for DyI2 after structural relaxation.

Structure (POSCAR):
```
DyI2
1.0
2.2510 -4.8441 7.8868
4.8008 4.2925 7.0186
-4.3654 2.0000 8.2266
Dy I
2 4
Cartesian
0.6716 0.3621 5.7830
1.3432 0.7242 11.5660
2.1329 -1.8789 12.6179
3.4078 2.6894 12.1838
1.0074 0.5431 8.6745
-1.1753 1.5432 12.7878
```

Properties
DFT total energy   -19.7 eV per cell

No. 2
Density functional theory data (PBE-GGA) for DyI after structural relaxation.

Structure (POSCAR):
```
DyI
1.0
-0.9016 -4.2108 -0.7178
-2.5556 -2.1899 2.7807
-4.0206 -1.1960 -1.2099
Dy I
1 1
Cartesian
0.0000 0.0000 0.0000
-3.7389 -3.7984 0.4265
```

Properties
DFT total energy   -6.9 eV per cell

No. 3
Density functional theory data (PBE-GGA) for DyI after structural relaxation.

Structure (POSCAR):
```
DyI
1.0
-0.9056 -1.6036 -3.3269
-1.3091 -1.4865 3.2460
-3.7629 2.7042 -0.2792
Dy I
1 1
Cartesian
-3.8623 0.4636 -1.3453
-2.1153 -0.8495 0.9852
```

Properties
DFT total energy   -7.7 eV per cell

No. 4
Density functional theory data (PBE-GGA) for K5Dy3I12 after structural relaxation.

Structure (POSCAR):
```
K5Dy3I12
1.0
-1.3398 -13.6901 -5.5506
11.8711 8.2356 -3.3578
2.1302 -1.6355 3.5198
Dy I K
3 12 5
Cartesian
11.4367 3.7975 -5.1571
2.5086 -11.0202 -6.6391
7.1173 -3.6863 -6.0204
1.4110 -8.7294 -4.9103
2.2447 -4.1073 -3.2671
4.9492 0.3814 -2.8181
5.5357 -6.3078 -6.2814
8.7573 3.4629 -3.6909
8.6958 -1.0631 -5.7568
12.7009 5.0145 -2.5722
0.4366 -7.2412 -0.8445
1.8093 -13.0620 -4.3801
6.6351 3.0463 0.1844
6.6552 -3.7130 -2.9687
9.7477 -5.3148 -5.5846
11.9746 -2.4070 -5.5812
4.0384 -2.3578 -0.7552
4.1290 -7.1992 -3.0597
8.5325 0.1091 -2.3288
8.2446 -8.5975 -6.2003
```

Properties
DFT total energy   -65.0 eV per cell

No. 5
Density functional theory data (PBE-GGA) for LaDyI2O2 after structural relaxation.

Structure (POSCAR):
```
LaDyI2O2
1.0
4.0345 0.0000 0.0000
0.0000 4.0345 0.0000
0.0000 0.0000 9.2578
Dy I La O
1 2 1 2
Cartesian
2.0172 2.0172 1.1175
0.0000 0.0000 3.0226
2.0172 2.0172 6.1605
0.0000 0.0000 8.0846
2.0172 0.0000 0.0652
0.0000 2.0172 0.0652
```

Properties
DFT total energy   -39.0 eV per cell

No. 6
Density functional theory data (PBE-GGA) for LaDyPI2 after structural relaxation.

Structure (POSCAR):
```
LaDyPI2
1.0
4.2116 0.0000 0.0000
-2.1058 3.6473 0.0000
0.0000 0.0000 11.0960
Dy I La P
1 2 1 1
Cartesian
0.0000 0.0000 9.5364
0.0000 0.0000 3.7252
0.0000 2.4315 7.5258
0.0000 2.4315 1.5391
2.1058 1.2158 10.9616
```

Properties
DFT total energy   -25.8 eV per cell

No. 7
Density functional theory data (PBE-GGA) for Dy2Mg4I after structural relaxation.

Structure (POSCAR):
```
Dy2Mg4I
1.0
-1.6488 7.0569 -3.7793
-4.9332 -6.2244 -1.9294
-2.1579 0.8984 2.6191
Dy I Mg
2 1 4
Cartesian
-1.9034 3.9777 -0.5801
-3.5455 -2.6630 0.3448
0.0000 0.0000 0.0000
-2.8736 2.1040 -3.0894
-3.7084 -1.2714 -2.6192
-2.9876 0.6906 -0.3458
-5.7523 1.0404 -2.7437
```

Properties
DFT total energy   -16.0 eV per cell

No. 8
Density functional theory data (PBE-GGA) for DySbMoI2 after structural relaxation.

Structure (POSCAR):
```
DySbMoI2
1.0
-2.2316 0.5039 3.5712
-1.9789 -1.0112 -3.6124
1.1781 -9.9531 2.1407
Dy I Mo Sb
1 2 1 1
Cartesian
-1.0514 -9.0539 0.6206
-1.7009 -3.5669 -0.5595
-1.3637 -6.6220 2.6007
-1.9793 -1.4209 1.4821
0.0304 -0.2570 0.0553
```

Properties
DFT total energy   -25.0 eV per cell

No. 9
Density functional theory data (PBE-GGA) for Pr2Dy2I5N after structural relaxation.

Structure (POSCAR):
```
Pr2Dy2I5N
1.0
9.6897 -2.0024 0.0000
9.6897 2.0024 0.0000
-1.9179 0.0000 8.5919
Dy I N Pr
2 5 1 2
Cartesian
11.9660 0.0000 0.5217
5.4954 0.0000 8.0702
15.7721 0.0000 1.4188
2.5998 0.0000 2.8272
8.7307 0.0000 4.2960
14.8617 0.0000 5.7647
1.6894 0.0000 7.1731
9.6897 0.0000 0.0000
18.9915 0.0000 1.6714
-1.5300 0.0000 6.9205
```

Properties
DFT total energy   -47.8 eV per cell

No. 10
Density functional theory data (PBE-GGA) for DyYI2N after structural relaxation.

Structure (POSCAR):
```
DyYI2N
1.0
-2.9612 -1.1082 -2.0676
1.4970 -2.3392 2.5610
-6.7226 3.9317 7.5206
Dy I N Y
1 2 1 1
Cartesian
-4.1445 2.4239 4.6364
-1.2324 0.7207 1.3786
-6.9617 1.6903 5.6132
-3.3569 0.0408 4.7858
-4.0503 -0.0125 2.3561
```

Properties
DFT total energy   -29.4 eV per cell

No. 11
Density functional theory data (PBE-GGA) for NdDyI6 after structural relaxation.

Structure (POSCAR):
```
NdDyI6
1.0
-0.5454 4.5127 -6.2833
-5.4129 0.3817 5.5405
5.7828 3.5830 3.6324
Dy I Nd
1 6 1
Cartesian
-1.3535 3.8269 -4.3205
-3.9662 3.8776 2.3594
-2.1788 5.2563 -1.7693
0.0615 1.9790 0.7871
-0.2819 6.4604 2.2114
3.7301 4.6866 0.4642
2.1094 3.1729 4.6143
-4.6055 1.0670 3.5791
```

Properties
DFT total energy   -29.9 eV per cell

No. 12
Density functional theory data (PBE-GGA) for NdDyNi2I2 after structural relaxation.

Structure (POSCAR):
```
NdDyNi2I2
1.0
4.1016 0.0000 0.0000
-2.0508 3.5521 0.0000
0.0000 0.0000 12.1327
Dy I Nd Ni
1 2 1 2
Cartesian
0.0000 0.0000 1.8276
2.0508 1.1840 3.9454
0.0000 2.3680 8.0607
0.0000 0.0000 10.2936
0.0000 2.3680 0.1396
2.0508 1.1840 12.1311
```

Properties
DFT total energy   -28.8 eV per cell

No. 13
Density functional theory data (PBE-GGA) for Nd2Dy2SiI5 after structural relaxation.

Structure (POSCAR):
```
Nd2Dy2SiI5
1.0
-4.3373 -3.7961 -8.0748
-0.8551 -6.2125 -7.6877
-3.9860 -4.6693 6.7085
Dy I Nd Si
2 5 2 1
Cartesian
-3.6308 -6.7799 -9.6578
-5.5477 -7.8980 0.6038
-4.9136 -8.9965 -11.9541
-2.1704 -3.2053 -0.4833
-4.5892 -7.3389 -4.5270
-7.0080 -11.4726 -8.5707
-4.2649 -5.6814 2.9001
-6.0380 -10.9959 -14.3198
-3.1405 -3.6820 5.2658
-2.5962 -5.0043 -7.8812
```

Properties
DFT total energy   -44.0 eV per cell

No. 14
Density functional theory data (PBE-GGA) for DyNi2I after structural relaxation.

Structure (POSCAR):
```
DyNi2I
1.0
3.7223 0.0000 0.0000
0.0000 3.7223 0.0000
0.0000 0.0000 7.1478
Dy I Ni
1 1 2
Cartesian
0.0000 0.0000 3.5739
1.8612 1.8612 0.0000
1.8612 1.8612 2.4306
1.8612 1.8612 4.7172
```

Properties
DFT total energy   -17.7 eV per cell

No. 15
Density functional theory data (PBE-GGA) for Dy3IO4 after structural relaxation.

Structure (POSCAR):
```
Dy3IO4
1.0
-1.7253 0.1164 3.5216
-3.5234 -0.0306 -1.7252
-0.0555 -9.1746 0.2762
Dy I O
3 1 4
Cartesian
-2.6244 0.0429 0.8982
-0.0139 -2.2912 0.0690
-0.0416 -6.8835 0.2072
-2.6521 -4.5444 1.0363
-0.8710 -1.3164 1.8022
-1.7700 -1.3900 -0.8212
-0.9098 -7.7417 1.9956
-1.8089 -7.8153 -0.6278
```

Properties
DFT total energy   -60.4 eV per cell

No. 16
Density functional theory data (PBE-GGA) for Dy4I4O3 after structural relaxation.

Structure (POSCAR):
```
Dy4I4O3
1.0
-1.5262 -3.5260 -0.5975
2.6177 0.1119 -7.3469
7.8755 -3.8744 2.7470
Dy I O
4 4 3
Cartesian
3.5023 -3.1615 -2.9410
2.2348 -3.2378 0.7469
5.5561 -2.3850 -0.1176
6.8709 -2.3288 -3.8078
2.0444 -0.6549 -1.3573
3.3498 -0.5991 -5.0212
6.9925 -4.8785 -1.7236
5.7482 -4.9662 1.9724
3.9361 -1.9364 1.3729
3.8492 -3.6728 -0.8097
5.1234 -3.6183 -4.3858
```

Properties
DFT total energy   -65.8 eV per cell

No. 17
Density functional theory data (PBE-GGA) for Dy3I2O2 after structural relaxation.

Structure (POSCAR):
```
Dy3I2O2
1.0
12.1764 7.7716 3.9279
-13.5897 -6.1298 -1.3548
0.9277 -2.5256 2.1211
Dy I O
3 2 2
Cartesian
0.4639 -1.2628 1.0605
7.6861 3.8360 3.9727
-8.1718 -4.7197 0.7215
0.9927 1.7378 1.6350
-2.4060 -0.0959 0.9382
4.0904 3.4090 2.2701
-5.5038 -1.7672 0.3031
```

Properties
DFT total energy   -38.9 eV per cell

No. 18
Density functional theory data (PBE-GGA) for Dy3I2O after structural relaxation.

Structure (POSCAR):
```
Dy3I2O
1.0
3.5031 0.0000 0.0000
0.0000 3.5031 0.0000
0.0000 0.0000 12.6825
Dy I O
3 2 1
Cartesian
1.7515 1.7515 0.0000
0.0000 1.7515 5.1054
1.7515 0.0000 7.5771
1.7515 0.0000 2.9390
0.0000 1.7515 9.7436
0.0000 0.0000 0.0000
```

Properties
DFT total energy   -29.2 eV per cell

No. 19
Density functional theory data (PBE-GGA) for PmDyI2O2 after structural relaxation.

Structure (POSCAR):
```
PmDyI2O2
1.0
3.9814 0.0000 0.0000
0.0000 3.9814 0.0000
0.0000 0.0000 9.2774
Dy I O Pm
1 2 2 1
Cartesian
0.0000 0.0000 1.1081
1.9907 1.9907 2.9978
0.0000 0.0000 6.2306
1.9907 0.0000 0.0413
0.0000 1.9907 0.0413
1.9907 1.9907 8.1359
```

Properties
DFT total energy   -38.6 eV per cell

No. 20
Density functional theory data (PBE-GGA) for PrDyI2O2 after structural relaxation.

Structure (POSCAR):
```
PrDyI2O2
1.0
4.0197 0.0000 0.0000
0.0000 4.0197 0.0000
0.0000 0.0000 9.2602
Dy I O Pr
1 2 2 1
Cartesian
0.0000 0.0000 8.1452
0.0000 0.0000 3.0829
2.0099 2.0099 6.2394
2.0099 0.0000 9.1998
0.0000 2.0099 9.1998
2.0099 2.0099 1.1737
```

Properties
DFT total energy   -38.4 eV per cell